(1)
Density functional theory data (GGA-PBE) for a geometry-optimized Y2RuPt structure.

extended XYZ file:
```
4
Lattice="6.9567 -0.0173 -0.0107 5.6174 4.1038 -0.0107 5.6174 1.8256 3.6754" Properties=species:S:1:pos:R:3 pbc="T T T"
Pt 9.8757 3.2095 1.9837
Ru 3.7711 1.2256 0.7575
Y 17.5314 5.6976 3.5214
Y 14.3007 4.6476 2.8725
```

Calculated values
M_tot = 0.000 μB per atom
space-group type = No. 160
energy of formation = -0.453 eV per atom
electronic total energy = -30.06 eV per cell

(2)
Density functional theory data (GGA-PBE) for a geometry-optimized CsSc2AgTe4 structure.

extended XYZ file:
```
16
Lattice="4.3654 0.0000 0.0000 -2.1827 7.6582 0.0000 0.0000 0.0000 15.5054" Properties=species:S:1:pos:R:3 pbc="T T T"
Cs 0.0000 1.9170 11.6290
Cs 2.1827 5.7412 3.8763
Sc 0.0000 5.7293 8.8327
Sc 2.1827 1.9289 1.0800
Sc 2.1827 1.9289 6.6726
Sc 0.0000 5.7293 14.4253
Ag 2.1827 5.0714 11.6290
Ag 0.0000 2.5868 3.8763
Te 0.0000 3.8686 1.4382
Te 2.1827 3.7896 9.1909
Te 2.1827 3.7896 14.0671
Te 0.0000 3.8686 6.3145
Te 0.0000 0.0000 7.7527
Te 0.0000 0.0000 0.0000
Te 0.0000 6.7374 11.6290
Te 2.1827 0.9208 3.8763
```

Calculated values
M_tot = 0.000 μB per atom
space-group type = No. 63
E_form (uncorrected) = -0.946 eV/atom
electronic total energy = -73.01 eV per cell

(3)
Density functional theory data (GGA-PBE) for a geometry-optimized CePmPb structure.

extended XYZ file:
```
6
Lattice="-4.3645 -0.9976 -0.6184 0.9794 -4.4100 0.1383 -1.4008 0.0832 8.9390" Properties=species:S:1:pos:R:3 pbc="T T T"
Ce -2.4370 -3.8930 -0.3457
Ce -0.9481 -1.5145 -0.1345
Pm -3.9267 -1.7981 5.3109
Pm -0.8591 -3.5263 3.1480
Pb -1.3360 -3.5185 6.4219
Pb -3.4498 -1.8059 2.0370
```

Calculated values
M_tot = 0.352 μB per atom
E above lowest polymorph = 0.0084 eV per atom
space-group type = No. 12
energy of formation = -0.419 eV per atom
electronic total energy = -31.30 eV per cell

(4)
Density functional theory data (GGA-PBE) for a geometry-optimized Rb2Ag2Pb structure.

extended XYZ file:
```
10
Lattice="-4.6999 -8.6282 3.9149 4.8253 1.5813 9.2778 -2.5216 1.8273 1.0000" Properties=species:S:1:pos:R:3 pbc="T T T"
Pb 0.0000 0.0000 0.0000
Pb 0.0627 -3.5235 6.5964
Rb 2.4512 -1.3747 8.6927
Rb -0.4515 -5.8699 9.5875
Rb -2.3258 -5.6723 4.5001
Rb 0.5768 -1.1770 3.6053
Ag 1.1635 1.0472 6.3691
Ag 0.3263 -2.7711 11.2353
Ag -3.5598 -6.2668 7.8237
Ag -2.7226 -2.4485 2.9575
```

Calculated values
M_tot = 0.000 μB per atom
E above lowest polymorph = 0.2087 eV per atom
space-group type = No. 127
energy of formation = 0.272 eV per atom
electronic total energy = -19.97 eV per cell

(5)
Density functional theory data (GGA-PBE) for a geometry-optimized ZnSiMo2 structure.

extended XYZ file:
```
4
Lattice="4.3542 0.0000 0.0000 2.1771 3.7708 0.0000 2.1771 1.2569 3.5552" Properties=species:S:1:pos:R:3 pbc="T T T"
Mo 0.0000 0.0000 0.0000
Mo 2.1771 1.2569 0.8888
Si 4.3542 2.5139 1.7776
Zn 6.5312 3.7708 2.6664
```

Calculated values
M_tot = 0.000 μB per atom
E above lowest polymorph = 0.1316 eV per atom
space-group type = No. 216
E_form (uncorrected) = 0.098 eV/atom
electronic total energy = -27.97 eV per cell

(6)
Density functional theory data (GGA-PBE) for a geometry-optimized Li3W4 structure.

extended XYZ file:
```
7
Lattice="-1.8409 4.3347 -0.5777 -1.7027 -2.8704 3.3725 3.3929 1.8828 3.3155" Properties=species:S:1:pos:R:3 pbc="T T T"
Li -0.8513 -1.4352 1.6863
Li -1.7718 0.7322 1.3974
Li -0.9204 2.1673 -0.2889
W 0.8879 0.4927 0.8676
W 2.5051 1.3901 2.4479
W -0.0984 2.8744 2.3968
W -0.0523 0.4727 3.7135
```

Calculated values
M_tot = 0.000 μB per atom
E above lowest polymorph = 0.0592 eV per atom
space-group type = No. 191
energy of formation = 0.602 eV per atom
electronic total energy = -53.34 eV per cell

(7)
Density functional theory data (GGA-PBE) for a geometry-optimized Co2NiAs structure.

extended XYZ file:
```
4
Lattice="3.4844 0.0000 0.0000 0.0000 3.6030 0.0000 0.0000 0.0000 3.6030" Properties=species:S:1:pos:R:3 pbc="T T T"
As 1.7422 0.0000 1.8015
Co 0.0000 0.0000 0.0000
Co 0.0000 1.8015 1.8015
Ni 1.7422 1.8015 0.0000
```

Calculated values
M_tot = 0.237 μB per atom
space-group type = No. 123
energy of formation = -0.068 eV per atom
electronic total energy = -24.91 eV per cell

(8)
Density functional theory data (GGA-PBE) for a geometry-optimized SnPd4Au2 structure.

extended XYZ file:
```
7
Lattice="0.2993 5.3978 1.1218 -3.6599 -0.6286 -4.0859 -1.4074 -2.5747 4.6770" Properties=species:S:1:pos:R:3 pbc="T T T"
Sn 0.0000 0.0000 0.0000
Pd 0.1497 2.6989 0.5609
Pd -2.3840 1.0973 0.8565
Pd -0.7037 -1.2873 2.3385
Pd -1.8299 -0.3143 -2.0429
Au -1.6803 2.3846 -1.4820
Au -0.5541 1.4116 2.8994
```

Calculated values
M_tot = 0.000 μB per atom
E above lowest polymorph = 0.1151 eV per atom
space-group type = No. 139
energy of formation = -0.162 eV per atom
electronic total energy = -32.46 eV per cell

Q: Which of these has the highest electronic total energy?
A: Rb2Ag2Pb

Q: Which value of M_tot does entry 4 give?
A: 0.000 μB per atom